Entry from the Alexandria database: Al3Fe after structural relaxation (PBE).

CIF file:
```
data_Al3Fe
_cell_length_a 8.4149
_cell_length_b 8.4149
_cell_length_c 2.7381
_cell_angle_alpha 90.00
_cell_angle_beta 90.00
_cell_angle_gamma 120.00
_space_group_name_H-M_alt 'R -3 m'
_space_group_IT_number 166
_space_group_name_Hall '-R 3 2"'
loop_
_atom_site_label
_atom_site_type_symbol
_atom_site_fract_x
_atom_site_fract_y
_atom_site_fract_z
_atom_site_occupancy
Al1 Al 0.0000 0.5000 0.0000 1
Fe1 Fe 0.0000 0.0000 0.0000 1
```

Calculated values
Electronic total energy   -4.928 eV per atom
Calculated volume   13.99 A^3/atom
Total moment   3.69 μB/cell